(1)
Entry from Alexandria: crystalline Na3Pr2SmSe6 at its relaxed geometry (PBE).

Cell: 7.4293 7.4293 7.4399 Å, 99.59 99.59 120.00°
Fractional positions:
1 Se 0.0788 0.4076 0.2366
2 Na 0.5000 0.5000 0.5000
3 Se 0.9212 0.5924 0.7634
4 Se 0.4076 0.0788 0.2366
5 Pr 0.6666 0.3334 0.0000
6 Se 0.7501 0.7501 0.2361
7 Na 0.1671 0.8329 0.5000
8 Sm 0.0000 0.0000 0.0000
9 Na 0.8329 0.1671 0.5000
10 Pr 0.3334 0.6666 0.0000
11 Se 0.2499 0.2499 0.7639
12 Se 0.5924 0.9212 0.7634

magnetization: 0.000 μB per cell
SG: No. 12
calculated volume: 335.3 Å³ per cell
energy relative to the elements, uncorrected: -1.682 eV/atom

***

(2)
Entry from Alexandria: crystalline Li2BeH at its relaxed geometry (PBE).

Cell: 5.6598 5.6598 4.8381 Å, 54.20 54.20 90.00°
Fractional positions:
1 Be 0.7500 0.2500 0.5000
2 Li 0.8750 0.7706 0.7500
3 H 0.2500 0.7500 0.5000
4 H 0.5000 0.5000 0.0000
5 Be 0.0000 0.0000 0.0000
6 Li 0.3750 0.4794 0.7500
7 Li 0.5206 0.1250 0.2500
8 Li 0.2294 0.6250 0.2500

magnetization: 0.000 μB per cell
SG: No. 122
calculated volume: 87.1 Å³ per cell
E above lowest polymorph: 0.000 eV/atom

***

(3)
Entry from Alexandria: crystalline AcPr2Tl2Zn2 at its relaxed geometry (PBE).

Cell: 4.8768 4.8768 10.2188 Å, 76.19 76.19 60.00°
Fractional positions:
1 Tl 0.7378 0.7378 0.7867
2 Pr 0.1317 0.1317 0.6050
3 Ac 0.0000 0.0000 0.0000
4 Zn 0.5799 0.5799 0.2603
5 Pr 0.8683 0.8683 0.3950
6 Zn 0.4201 0.4201 0.7397
7 Tl 0.2622 0.2622 0.2133

magnetization: 0.000 μB per cell
SG: No. 166
calculated volume: 202.3 Å³ per cell
E_form: -209 meV/atom

***

(4)
Entry from Alexandria: crystalline Pu3Tl2In at its relaxed geometry (PBE).

Cell: 3.2627 3.2627 14.7497 Å, 90.00 90.00 90.00°
Last column: magnetic moment on the atom in μB.
Fractional positions:
1 Tl 0.5000 0.5000 0.1682  0.00
2 Pu 0.0000 0.0000 0.3363  -5.55
3 In 0.5000 0.5000 0.5000  0.07
4 Pu 0.0000 0.0000 0.6637  -5.55
5 Tl 0.5000 0.5000 0.8318  0.00
6 Pu 0.0000 0.0000 0.0000  5.63

magnetization: 5.655 μB per cell
SG: No. 123
calculated volume: 157.0 Å³ per cell
E_form: -85 meV/atom

***

(5)
Entry from Alexandria: crystalline Ac2ErCd3 at its relaxed geometry (PBE).

Cell: 3.8584 3.8584 12.4334 Å, 90.00 90.00 90.00°
Fractional positions:
1 Cd 0.0000 0.0000 0.3653
2 Er 0.5000 0.5000 0.5000
3 Cd 0.0000 0.0000 0.6347
4 Ac 0.5000 0.5000 0.1807
5 Ac 0.5000 0.5000 0.8193
6 Cd 0.0000 0.0000 0.0000

magnetization: 0.003 μB per cell
SG: No. 123
calculated volume: 185.1 Å³ per cell
E_form: -279 meV/atom

***

(6)
Entry from Alexandria: crystalline TmHgBi at its relaxed geometry (PBE).

Cell: 5.5929 3.4784 9.6752 Å, 100.36 106.80 90.00°
Fractional positions:
1 Bi 0.3360 0.8360 0.6720
2 Bi 0.6640 0.1640 0.3280
3 Tm 0.8386 0.3386 0.6773
4 Hg 0.2534 0.5000 0.0000
5 Hg 0.7466 0.5000 0.0000
6 Tm 0.1614 0.6614 0.3227

magnetization: 0.000 μB per cell
SG: No. 71
calculated volume: 177.0 Å³ per cell
E above lowest polymorph: 0.157 eV/atom
E_form: -233 meV/atom

***

(7)
Entry from Alexandria: crystalline Th4GaBi2Se at its relaxed geometry (PBE).

Cell: 4.4163 7.8651 7.5346 Å, 70.80 90.00 90.00°
Fractional positions:
1 Th 0.5000 0.2792 0.7364
2 Th 0.0000 0.7201 0.7566
3 Bi 0.0000 0.0000 0.0000
4 Th 0.5000 0.7208 0.2636
5 Se 0.5000 0.5000 0.0000
6 Ga 0.0000 0.5000 0.5000
7 Bi 0.5000 0.0000 0.5000
8 Th 0.0000 0.2799 0.2434

magnetization: 0.000 μB per cell
SG: No. 10
calculated volume: 247.2 Å³ per cell
energy relative to the elements, uncorrected: -0.791 eV/atom

***

(8)
Entry from Alexandria: crystalline Cs2SiSeI6 at its relaxed geometry (PBE).

Cell: 8.2806 8.2806 8.3511 Å, 60.28 60.28 90.00°
Fractional positions:
1 Si 0.5000 0.5000 0.0000
2 I 0.7410 0.2590 0.0000
3 I 0.2590 0.7410 0.0000
4 I 0.7361 0.7361 0.5278
5 I 0.7410 0.7410 0.0000
6 I 0.2639 0.2639 0.4722
7 Cs 0.7500 0.2500 0.5000
8 Se 0.0000 0.0000 0.0000
9 Cs 0.2500 0.7500 0.5000
10 I 0.2590 0.2590 0.0000

magnetization: 0.000 μB per cell
SG: No. 139
calculated volume: 408.3 Å³ per cell
energy relative to the elements, uncorrected: -0.620 eV/atom

***

(9)
Entry from Alexandria: crystalline Zr4GaIr at its relaxed geometry (PBE).

Cell: 5.5924 6.6515 6.6515 Å, 90.00 90.00 90.00°
Fractional positions:
1 Zr 0.0000 0.1673 0.6565
2 Ir 0.7500 0.5000 0.5000
3 Zr 0.5000 0.8327 0.6565
4 Zr 0.0000 0.3435 0.1673
5 Zr 0.5000 0.1673 0.3435
6 Zr 0.0000 0.8327 0.3435
7 Ir 0.2500 0.5000 0.5000
8 Ga 0.7500 0.0000 0.0000
9 Zr 0.0000 0.6565 0.8327
10 Ga 0.2500 0.0000 0.0000
11 Zr 0.5000 0.3435 0.8327
12 Zr 0.5000 0.6565 0.1673

magnetization: 0.000 μB per cell
SG: No. 124
calculated volume: 247.4 Å³ per cell
E above lowest polymorph: 0.000 eV/atom
E_form: -543 meV/atom

***

(10)
Entry from Alexandria: crystalline Ga2BMoPd at its relaxed geometry (PBE).

Cell: 4.8584 4.0568 4.8584 Å, 90.00 90.00 90.00°
Fractional positions:
1 Ga 0.0000 0.0000 0.5000
2 Pd 0.5000 0.5000 0.5000
3 Ga 0.5000 0.0000 0.0000
4 Mo 0.0000 0.0000 0.0000
5 B 0.0000 0.5000 0.0000

magnetization: 0.000 μB per cell
SG: No. 123
calculated volume: 95.8 Å³ per cell
E_form: 845 meV/atom

***

(11)
Entry from Alexandria: crystalline BeTeAu at its relaxed geometry (PBE).

Cell: 6.7818 8.1249 8.1249 Å, 158.72 157.31 32.76°
Fractional positions:
1 Be 0.7397 0.6349 0.1048
2 Te 0.2483 0.3078 0.9405
3 Au 0.0120 0.0573 0.9547

magnetization: 0.000 μB per cell
SG: No. 8
calculated volume: 62.1 Å³ per cell
E above lowest polymorph: 0.000 eV/atom
energy relative to the elements, uncorrected: 0.085 eV/atom

***

(12)
Entry from Alexandria: crystalline SrTeSe2 at its relaxed geometry (PBE).

Cell: 5.0826 5.1211 10.5690 Å, 82.01 81.55 70.88°
Fractional positions:
1 Se 0.3543 0.7514 0.3595
2 Sr 0.9640 0.3609 0.4427
3 Sr 0.5406 0.9151 0.0747
4 Te 0.9753 0.3411 0.9404
5 Se 0.5223 0.9228 0.5319
6 Se 0.7966 0.1059 0.7575
7 Se 0.1486 0.5307 0.1477
8 Te 0.2282 0.6650 0.7362

magnetization: 0.000 μB per cell
SG: No. 1
calculated volume: 255.9 Å³ per cell
energy relative to the elements, uncorrected: -0.950 eV/atom

***

(13)
Entry from Alexandria: crystalline Sm4ErSc3Se8 at its relaxed geometry (PBE).

Cell: 8.0204 8.1734 8.0210 Å, 119.39 120.00 90.00°
Fractional positions:
1 Se 0.2627 0.2710 0.0168
2 Se 0.7373 0.7290 0.9832
3 Er 0.0000 0.5000 0.0000
4 Sc 0.5000 0.5000 0.5000
5 Se 0.2459 0.7290 0.4917
6 Se 0.7541 0.2710 0.5083
7 Sm 0.0000 0.0000 0.0000
8 Se 0.7417 0.7252 0.4834
9 Se 0.2459 0.7290 0.9832
10 Se 0.7541 0.2710 0.0168
11 Sc 0.0000 0.5000 0.5000
12 Sm 0.5000 0.0000 0.5000
13 Sm 0.0000 0.0000 0.5000
14 Sm 0.5000 0.0000 0.0000
15 Sc 0.5000 0.5000 0.0000
16 Se 0.2583 0.2748 0.5166

magnetization: 0.000 μB per cell
SG: No. 166
calculated volume: 375.2 Å³ per cell
energy relative to the elements, uncorrected: -1.705 eV/atom

***

(14)
Entry from Alexandria: crystalline K2NiN at its relaxed geometry (PBE).

Cell: 11.5254 11.5254 8.3343 Å, 46.26 46.26 90.00°
Fractional positions:
1 K 0.3750 0.6150 0.7500
2 N 0.5000 0.5000 0.0000
3 K 0.3850 0.1250 0.2500
4 K 0.3650 0.6250 0.2500
5 Ni 0.7500 0.2500 0.5000
6 K 0.8750 0.6350 0.7500
7 N 0.2500 0.7500 0.5000
8 Ni 0.0000 0.0000 0.0000

magnetization: 0.000 μB per cell
SG: No. 122
calculated volume: 231.7 Å³ per cell
energy relative to the elements, uncorrected: -0.034 eV/atom

***

(15)
Entry from Alexandria: crystalline KTeBr2 at its relaxed geometry (PBE).

Cell: 5.9470 5.9470 5.8840 Å, 62.16 62.16 93.21°
Fractional positions:
1 Br 0.5000 0.5000 0.0000
2 K 0.5000 0.0000 0.5000
3 Br 0.0000 0.0000 0.0000
4 Te 0.0000 0.5000 0.5000

magnetization: 0.000 μB per cell
SG: No. 12
calculated volume: 152.4 Å³ per cell
E above lowest polymorph: 0.081 eV/atom
energy relative to the elements, uncorrected: -0.707 eV/atom

***

(16)
Entry from Alexandria: crystalline TaMo2Ir at its relaxed geometry (PBE).

Cell: 5.0568 5.0568 2.7563 Å, 90.00 90.00 113.84°
Fractional positions:
1 Ta 0.5000 0.0000 0.5000
2 Mo 0.0000 0.0000 0.0000
3 Ir 0.0000 0.5000 0.5000
4 Mo 0.5000 0.5000 0.0000

magnetization: 0.000 μB per cell
SG: No. 65
calculated volume: 64.5 Å³ per cell
E above lowest polymorph: 0.159 eV/atom
E_form: 5 meV/atom

***

(17)
Entry from Alexandria: crystalline Tl4IBr2 at its relaxed geometry (PBE).

Cell: 6.4372 6.4372 10.1885 Å, 71.58 71.58 90.00°
Fractional positions:
1 Tl 0.0000 0.5000 0.0000
2 Br 0.5976 0.5976 0.8048
3 Tl 0.5000 0.0000 0.0000
4 Tl 0.2418 0.2418 0.5164
5 Tl 0.7582 0.7582 0.4836
6 I 0.0000 0.0000 0.0000
7 Br 0.4024 0.4024 0.1952

magnetization: 0.000 μB per cell
SG: No. 139
calculated volume: 377.7 Å³ per cell
energy relative to the elements, uncorrected: -0.385 eV/atom

***

(18)
Entry from Alexandria: crystalline ScHgI3 at its relaxed geometry (PBE).

Cell: 25.9312 7.3479 9.9629 Å, 90.00 158.15 90.00°
Fractional positions:
1 Sc 0.4258 0.8897 0.0250
2 Hg 0.9519 0.6639 0.9937
3 Sc 0.5742 0.1103 0.9750
4 I 0.8121 0.2308 0.7453
5 I 0.4263 0.2257 0.8710
6 I 0.6773 0.4371 0.0616
7 I 0.5737 0.7743 0.1290
8 I 0.0737 0.7257 0.6290
9 Hg 0.5481 0.1639 0.5063
10 Sc 0.0742 0.3897 0.4750
11 I 0.3121 0.2692 0.2453
12 I 0.1879 0.7692 0.2547
13 I 0.6879 0.7308 0.7547
14 I 0.8227 0.9371 0.4384
15 I 0.1773 0.0629 0.5616
16 Hg 0.0481 0.3361 0.0063
17 Sc 0.9258 0.6103 0.5250
18 I 0.9263 0.2743 0.3710
19 I 0.3227 0.5629 0.9384
20 Hg 0.4519 0.8361 0.4937

magnetization: 0.000 μB per cell
SG: No. 14
calculated volume: 706.5 Å³ per cell
E above lowest polymorph: 0.196 eV/atom
energy relative to the elements, uncorrected: -0.776 eV/atom

***

(19)
Entry from Alexandria: crystalline LaPr2Er8 at its relaxed geometry (PBE).

Cell: 6.6418 6.7224 8.8816 Å, 98.85 111.96 90.00°
Fractional positions:
1 Er 0.5884 0.9067 0.1767
2 Pr 0.2427 0.2962 0.4855
3 La 0.0000 0.0000 0.0000
4 Er 0.6470 0.5913 0.8228
5 Er 0.8242 0.4087 0.1772
6 Er 0.3530 0.4087 0.1772
7 Er 0.2056 0.7911 0.4112
8 Er 0.7944 0.2089 0.5888
9 Pr 0.7573 0.7038 0.5145
10 Er 0.1758 0.5913 0.8228
11 Er 0.4116 0.0933 0.8233

magnetization: 0.000 μB per cell
SG: No. 12
calculated volume: 362.7 Å³ per cell
E above lowest polymorph: 0.019 eV/atom
E_form: 176 meV/atom

***

(20)
Entry from Alexandria: crystalline Y7PbS5 at its relaxed geometry (PBE).

Cell: 3.9660 6.8138 23.5567 Å, 90.00 90.00 106.96°
Fractional positions:
1 S 0.4570 0.9143 0.6391
2 S 0.2737 0.5478 0.0697
3 Y 0.5147 0.0292 0.7500
4 Y 0.9068 0.8133 0.3894
5 Y 0.3636 0.7269 0.5360
6 S 0.5435 0.0868 0.1391
7 Y 0.9068 0.8132 0.1107
8 Pb 0.8023 0.6040 0.2500
9 Y 0.1746 0.3497 0.1712
10 S 0.4570 0.9143 0.8609
11 S 0.2737 0.5478 0.4303
12 Y 0.4858 0.9720 0.2500
13 S 0.5436 0.0869 0.3609
14 Y 0.8259 0.6514 0.6712
15 Y 0.0938 0.1879 0.8893
16 S 0.7269 0.4533 0.5697
17 S 0.0003 0.0006 0.0000
18 Y 0.6369 0.2742 0.0359
19 Y 0.8259 0.6514 0.8288
20 Y 0.0938 0.1879 0.6107
21 S 0.0003 0.0006 0.5000
22 S 0.7269 0.4533 0.9303
23 Pb 0.1983 0.3971 0.7500
24 Y 0.6369 0.2742 0.4641
25 Y 0.3636 0.7269 0.9640
26 Y 0.1747 0.3498 0.3288

magnetization: 0.000 μB per cell
SG: No. 63
calculated volume: 608.9 Å³ per cell
energy relative to the elements, uncorrected: -1.655 eV/atom